Computed, not measured: Pm2Dy3Cd after structural relaxation at the PBE level of DFT.

```
Pm2Dy3Cd
1.0
3.6018 0.0000 0.0000
0.0000 3.6018 0.0000
0.0000 0.0000 14.1860
Pm Dy Cd
2 3 1
Direct
0.5000 0.5000 0.1792
0.5000 0.5000 0.8208
0.0000 0.0000 0.6437
0.0000 0.0000 0.3563
0.0000 0.0000 0.0000
0.5000 0.5000 0.5000
```

Values from the calculation:
space group: P4/mmm (123)
ΔE_f: -9.4 kJ per mole of atoms
E_tot: -4.13 eV per atom